[1]
## CeMg6Mo (PBE)

Data for a geometry-optimized CeMg6Mo structure.

## Properties
Distance to the lowest polymorph of the same formula (kJ/mol of formula units): 24
D(E_F) (states/eV/cell): 8.9

a = 5.1614 Å, b = 6.5797 Å, c = 6.5797 Å
α = 51.86°, β = 90.00°, γ = 90.00°
Closest atoms and distances in Å follow each position.
Element x y z (fractional)
Ce1 0.0000 0.0000 0.0000  2 Mo 2.88, 6 Mg 3.20
Mg1 0.0000 0.4982 0.9967  6 Mg 2.87-3.15, 1 Mo 3.17
Mg2 0.0000 0.9967 0.4982  6 Mg 2.87-3.15, 1 Mo 3.17
Mg3 0.5000 0.1590 0.6416  3 Mg 2.78-2.98, 2 Mo 3.10
Mg4 0.5000 0.1596 0.1596  8 Mg 2.91-3.17, 2 Ce 3.20
Mg5 0.5000 0.6225 0.6225  4 Mg 2.91-2.97, 2 Mo 3.04
Mg6 0.5000 0.6416 0.1590  3 Mg 2.78-2.98, 2 Mo 3.10
Mo1 0.0000 0.4864 0.4864  2 Ce 2.88, 8 Mg 3.04-3.17

[2]
## Nd3Si2Ir (PBE)

Data for a geometry-optimized Nd3Si2Ir structure.

## Properties
Formation energy (no corrections) (meV per atom): -756.1
D(E_F) (states/eV/cell): 13.2

a = 11.9023 Å, b = 4.2846 Å, c = 11.6725 Å
α = 90.00°, β = 90.00°, γ = 90.00°
Closest atoms and distances in Å follow each position.
Element x y z (fractional)
Nd1 0.0597 0.2500 0.1224  1 Ir 2.94, 4 Si 3.09-3.13
Nd2 0.1184 0.7500 0.5581  5 Si 3.03-3.15, 3 Ir 3.10-3.13
Nd3 0.2101 0.2500 0.8019  2 Ir 2.95, 4 Si 3.10-3.15
Nd4 0.2899 0.7500 0.3019  2 Ir 2.95, 4 Si 3.10-3.15
Nd5 0.3816 0.2500 0.0581  5 Si 3.03-3.15, 3 Ir 3.10-3.13
Nd6 0.4403 0.7500 0.6224  1 Ir 2.94, 4 Si 3.09-3.13
Nd7 0.5597 0.2500 0.3776  1 Ir 2.94, 4 Si 3.09-3.13
Nd8 0.6184 0.7500 0.9419  5 Si 3.03-3.15, 3 Ir 3.10-3.13
Nd9 0.7101 0.2500 0.6981  2 Ir 2.95, 4 Si 3.10-3.15
Nd10 0.7899 0.7500 0.1981  2 Ir 2.95, 4 Si 3.10-3.15
Nd11 0.8816 0.2500 0.4419  5 Si 3.03-3.15, 3 Ir 3.10-3.13
Nd12 0.9403 0.7500 0.8776  1 Ir 2.94, 4 Si 3.09-3.13
Si1 0.0283 0.7500 0.3151  2 Ir 2.53
Si2 0.1976 0.7500 0.9935  1 Ir 2.55
Si3 0.3024 0.2500 0.4935  1 Ir 2.55
Si4 0.4717 0.2500 0.8151  2 Ir 2.53
Si5 0.5283 0.7500 0.1849  2 Ir 2.53
Si6 0.6976 0.7500 0.5065  1 Ir 2.55
Si7 0.8024 0.2500 0.0065  1 Ir 2.55
Si8 0.9717 0.2500 0.6849  2 Ir 2.53
Ir1 0.1306 0.2500 0.3632  3 Si 2.53-2.55
Ir2 0.3694 0.7500 0.8632  3 Si 2.53-2.55
Ir3 0.6306 0.2500 0.1368  3 Si 2.53-2.55
Ir4 0.8694 0.7500 0.6368  3 Si 2.53-2.55

[3]
## TaCu2Sb (PBE)

Data for a geometry-optimized TaCu2Sb structure.

## Properties
Formation energy (no corrections) (meV per atom): 214.2
D(E_F) (states/eV/cell): 4.5

a = 5.1943 Å, b = 5.1943 Å, c = 5.1943 Å
α = 136.71°, β = 136.71°, γ = 62.89°
Closest atoms and distances in Å follow each position.
Element x y z (fractional)
Ta1 0.0000 0.0000 0.0000  8 Cu 2.71-2.93, 4 Sb 2.93
Cu1 0.2500 0.7500 0.5000  4 Sb 2.71, 4 Ta 2.93, 4 Cu 2.93
Cu2 0.5000 0.5000 0.0000  4 Ta 2.71, 4 Sb 2.93, 4 Cu 2.93
Sb1 0.7500 0.2500 0.5000  8 Cu 2.71-2.93, 4 Ta 2.93

[4]
## AcCe2Dy (PBE)

Data for a geometry-optimized AcCe2Dy structure.

## Properties
Distance to the lowest polymorph of the same formula (kJ/mol of formula units): 5
D(E_F) (states/eV/cell): 11.4

a = 3.6262 Å, b = 3.6262 Å, c = 10.2298 Å
α = 90.00°, β = 90.00°, γ = 90.00°
Closest atoms and distances in Å follow each position.
Element x y z (fractional)
Ac1 0.0000 0.0000 0.0000  4 Ac 3.63, 8 Ce 3.71
Ce1 0.5000 0.5000 0.2618  4 Dy 3.54, 4 Ce 3.63, 4 Ac 3.71
Ce2 0.5000 0.5000 0.7382  4 Dy 3.54, 4 Ce 3.63, 4 Ac 3.71
Dy1 0.0000 0.0000 0.5000  8 Ce 3.54, 4 Dy 3.63

[5]
## SbPRh2O (PBE)

Data for a geometry-optimized SbPRh2O structure.

## Properties
Formation energy (no corrections) (meV per atom): 248.2
D(E_F) (states/eV/cell): 4.6

a = 4.5382 Å, b = 4.5382 Å, c = 3.7307 Å
α = 90.00°, β = 90.00°, γ = 90.00°
Closest atoms and distances in Å follow each position.
Element x y z (fractional)
Sb1 0.0000 0.0000 0.0000  8 Rh 2.94, 4 P 3.21
P1 0.5000 0.5000 0.0000  2 O 1.87
Rh1 0.0000 0.5000 0.5000  2 O 2.27
Rh2 0.5000 0.0000 0.5000  2 O 2.27
O1 0.5000 0.5000 0.5000  2 P 1.87

[6]
## CdAsP2 (PBE)

Data for a geometry-optimized CdAsP2 structure.

## Properties
Distance to the lowest polymorph of the same formula (kJ/mol of formula units): 28
D(E_F) (states/eV/cell): 1.1

a = 2.6875 Å, b = 3.6715 Å, c = 7.7377 Å
α = 90.00°, β = 99.98°, γ = 90.00°
Closest atoms and distances in Å follow each position.
Element x y z (fractional)
Cd1 0.0000 0.0000 0.0000  2 Cd 2.69, 2 P 2.86
As1 0.6211 0.5000 0.2685  2 P 2.64, 2 As 2.69
P1 0.7449 0.0000 0.5167  2 P 2.37, 2 As 2.64
P2 0.8440 0.5000 0.7128  2 P 2.37

[7]
## HfTiCSe (PBE)

Data for a geometry-optimized HfTiCSe structure.

## Properties
Formation energy (no corrections) (meV per atom): -1072.6
D(E_F) (states/eV/cell): 0.4

a = 6.4036 Å, b = 6.4036 Å, c = 6.4036 Å
α = 30.31°, β = 30.31°, γ = 30.31°
Closest atoms and distances in Å follow each position.
Element x y z (fractional)
Hf1 0.0000 0.0000 0.0000  3 C 2.25
Ti1 0.2071 0.2071 0.2071  3 C 2.26
C1 0.6041 0.6041 0.6041  3 Hf 2.25, 3 Ti 2.26
Se1 0.4421 0.4421 0.4421  3 Ti 2.64, 3 Hf 2.78

[8]
## Zn2CdAu (PBE)

Data for a geometry-optimized Zn2CdAu structure.

## Properties
Distance to the lowest polymorph of the same formula (kJ/mol of formula units): 15
D(E_F) (states/eV/cell): 1.2

a = 4.1464 Å, b = 4.1464 Å, c = 4.0416 Å
α = 90.00°, β = 90.00°, γ = 90.00°
Closest atoms and distances in Å follow each position.
Element x y z (fractional)
Zn1 0.0000 0.5000 0.0000  4 Cd 2.90, 4 Au 2.90, 4 Zn 2.93
Zn2 0.5000 0.0000 0.0000  4 Cd 2.90, 4 Au 2.90, 4 Zn 2.93
Cd1 0.0000 0.0000 0.5000  8 Zn 2.90, 4 Au 2.93
Au1 0.5000 0.5000 0.5000  8 Zn 2.90, 4 Cd 2.93

[9]
## Nd2Al2ZnRh5 (PBE)

Data for a geometry-optimized Nd2Al2ZnRh5 structure.

## Properties
Calculated total energy (eV for the cell shown): -123.9
D(E_F) (states/eV/cell): 9.3

a = 10.0349 Å, b = 10.0349 Å, c = 3.4583 Å
α = 90.00°, β = 90.00°, γ = 90.00°
Closest atoms and distances in Å follow each position.
Element x y z (fractional)
Nd1 0.1760 0.3240 0.0000  3 Al 2.85-3.05, 6 Rh 3.04-3.14
Nd2 0.3240 0.8240 0.0000  3 Al 2.85-3.05, 6 Rh 3.04-3.14
Nd3 0.6760 0.1760 0.0000  3 Al 2.85-3.05, 6 Rh 3.04-3.14
Nd4 0.8240 0.6760 0.0000  3 Al 2.85-3.05, 6 Rh 3.04-3.14
Al1 0.1232 0.6232 0.0000  6 Rh 2.46-2.51
Al2 0.3768 0.1232 0.0000  6 Rh 2.46-2.51
Al3 0.6232 0.8768 0.0000  6 Rh 2.46-2.51
Al4 0.8768 0.3768 0.0000  6 Rh 2.46-2.51
Zn1 0.0000 0.0000 0.0000  8 Rh 2.76
Zn2 0.5000 0.5000 0.0000  8 Rh 2.76
Rh1 0.0000 0.5000 0.5000  4 Al 2.46
Rh2 0.0642 0.7951 0.5000  2 Al 2.51, 2 Zn 2.76
Rh3 0.2049 0.0642 0.5000  2 Al 2.51, 2 Zn 2.76
Rh4 0.2951 0.5642 0.5000  2 Al 2.51, 2 Zn 2.76
Rh5 0.4358 0.2951 0.5000  2 Al 2.51, 2 Zn 2.76
Rh6 0.5000 0.0000 0.5000  4 Al 2.46
Rh7 0.5642 0.7049 0.5000  2 Al 2.51, 2 Zn 2.76
Rh8 0.7049 0.4358 0.5000  2 Al 2.51, 2 Zn 2.76
Rh9 0.7951 0.9358 0.5000  2 Al 2.51, 2 Zn 2.76
Rh10 0.9358 0.2049 0.5000  2 Al 2.51, 2 Zn 2.76

[10]
## YAl2Os (PBE)

Data for a geometry-optimized YAl2Os structure.

## Properties
Calculated total energy (eV for the cell shown): -25.1
D(E_F) (states/eV/cell): 3.1

a = 4.4371 Å, b = 4.4371 Å, c = 4.3925 Å
α = 90.00°, β = 90.00°, γ = 103.94°
Closest atoms and distances in Å follow each position.
Element x y z (fractional)
Y1 0.0000 0.0000 0.0000  2 Os 2.73
Al1 0.3166 0.6834 0.5000  2 Os 2.54, 1 Al 2.56
Al2 0.6834 0.3166 0.5000  2 Os 2.54, 1 Al 2.56
Os1 0.5000 0.5000 0.0000  4 Al 2.54, 2 Y 2.73

[11]
## LaIr (PBE)

Data for a geometry-optimized LaIr structure.

## Properties
Calculated total energy (eV for the cell shown): -120.2
D(E_F) (states/eV/cell): 9.1

a = 6.0598 Å, b = 6.3407 Å, c = 10.1180 Å
α = 90.00°, β = 90.00°, γ = 90.00°
Closest atoms and distances in Å follow each position.
Element x y z (fractional)
La1 0.1039 0.0833 0.4751  3 Ir 2.84-3.16
La2 0.1468 0.6467 0.6760  3 Ir 2.85-3.04
La3 0.3532 0.3533 0.1760  3 Ir 2.85-3.04
La4 0.3961 0.9167 0.9751  3 Ir 2.84-3.16
La5 0.6039 0.4167 0.5249  3 Ir 2.84-3.16
La6 0.6468 0.8533 0.3240  3 Ir 2.85-3.04
La7 0.8532 0.1467 0.8240  3 Ir 2.85-3.04
La8 0.8961 0.5833 0.0249  3 Ir 2.84-3.16
Ir1 0.1486 0.5690 0.3989  2 Ir 2.61-2.65, 2 La 2.85-2.91
Ir2 0.1761 0.8645 0.2202  2 Ir 2.61-2.65, 1 La 2.84
Ir3 0.3239 0.1355 0.7202  2 Ir 2.61-2.65, 1 La 2.84
Ir4 0.3514 0.4310 0.8989  2 Ir 2.61-2.65, 2 La 2.85-2.91
Ir5 0.6486 0.9310 0.6011  2 Ir 2.61-2.65, 2 La 2.85-2.91
Ir6 0.6761 0.6355 0.7798  2 Ir 2.61-2.65, 1 La 2.84
Ir7 0.8239 0.3645 0.2798  2 Ir 2.61-2.65, 1 La 2.84
Ir8 0.8514 0.0690 0.1011  2 Ir 2.61-2.65, 2 La 2.85-2.91

[12]
## NdSn3Ir (PBE)

Data for a geometry-optimized NdSn3Ir structure.

## Properties
Calculated total energy (eV for the cell shown): -54.6
D(E_F) (states/eV/cell): 7.7

a = 6.5989 Å, b = 6.5989 Å, c = 6.1984 Å
α = 98.52°, β = 98.52°, γ = 76.63°
Closest atoms and distances in Å follow each position.
Element x y z (fractional)
Nd1 0.2110 0.2110 0.1506  8 Sn 3.15-3.37, 2 Ir 3.30-3.35
Nd2 0.7890 0.7890 0.8494  8 Sn 3.15-3.37, 2 Ir 3.30-3.35
Sn1 0.1800 0.7306 0.2469  2 Ir 2.73-2.81
Sn2 0.2694 0.8200 0.7531  2 Ir 2.73-2.81
Sn3 0.2805 0.2805 0.6775  2 Ir 2.71-2.73
Sn4 0.7195 0.7195 0.3225  2 Ir 2.71-2.73
Sn5 0.7306 0.1800 0.2469  2 Ir 2.73-2.81
Sn6 0.8200 0.2694 0.7531  2 Ir 2.73-2.81
Ir1 0.5000 0.5000 0.0000  6 Sn 2.73-2.81
Ir2 0.5000 0.5000 0.5000  6 Sn 2.71-2.73